1.
Compound: Tb2PrSn3PdPt2
Source: OQMD
Functional: GGA-PBE
Structure: optimized geometry

Lattice parameters (Å, degrees): 4.0756 7.6002 7.6002 120.32 90.00 90.00
Last column: nearest neighbours and their distance in Å.
Fractional coordinates of all 9 atoms:
Tb  0.0000  0.2048  0.7952  4 Pt 3.05, 1 Pd 3.09, 6 Sn 3.26-3.40
Tb  0.0000  0.7952  0.2048  4 Pt 3.05, 1 Pd 3.09, 6 Sn 3.26-3.40
Pr  0.0000  0.6159  0.6159  4 Pt 3.11, 1 Pd 3.15, 6 Sn 3.25-3.42
Sn  0.5000  0.2015  0.4584  2 Pt 2.81-2.90, 2 Pd 2.83
Sn  0.5000  0.4584  0.2015  2 Pt 2.81-2.90, 2 Pd 2.83
Sn  0.5000  0.9506  0.9506  2 Pd 2.77, 2 Pt 2.91
Pd  0.0000  0.1996  0.1996  6 Sn 2.77-2.83, 2 Tb 3.09
Pt  0.5000  0.5352  0.8768  3 Sn 2.81-2.91, 4 Tb 3.05, 2 Pr 3.11
Pt  0.5000  0.8768  0.5352  3 Sn 2.81-2.91, 4 Tb 3.05, 2 Pr 3.11

Values from the calculation:
The value obtained for the spin magnetization is 0.001 μB/f.u. The total energy comes out at -52.60 eV per formula unit.


2.
Compound: MgTlCoPt
Source: OQMD
Functional: GGA-PBE
Structure: optimized geometry

Lattice parameters (Å, degrees): 6.4307 6.4307 6.4307 90.00 90.00 90.00
Last column: nearest neighbours and their distance in Å.
Fractional coordinates of all 16 atoms:
Mg  0.0000  0.0000  0.0000  4 Pt 2.78, 4 Co 2.78
Mg  0.0000  0.5000  0.5000  4 Co 2.78, 4 Pt 2.78
Mg  0.5000  0.0000  0.5000  4 Co 2.78, 4 Pt 2.78
Mg  0.5000  0.5000  0.0000  4 Co 2.78, 4 Pt 2.78
Tl  0.0000  0.0000  0.5000  4 Co 2.78, 4 Pt 2.78
Tl  0.0000  0.5000  0.0000  4 Co 2.78, 4 Pt 2.78
Tl  0.5000  0.0000  0.0000  4 Co 2.78, 4 Pt 2.78
Tl  0.5000  0.5000  0.5000  4 Co 2.78, 4 Pt 2.78
Co  0.2500  0.2500  0.7500  4 Tl 2.78, 4 Mg 2.78
Co  0.2500  0.7500  0.2500  4 Tl 2.78, 4 Mg 2.78
Co  0.7500  0.2500  0.2500  4 Tl 2.78, 4 Mg 2.78
Co  0.7500  0.7500  0.7500  4 Tl 2.78, 4 Mg 2.78
Pt  0.2500  0.2500  0.2500  4 Tl 2.78, 4 Mg 2.78
Pt  0.2500  0.7500  0.7500  4 Tl 2.78, 4 Mg 2.78
Pt  0.7500  0.2500  0.7500  4 Tl 2.78, 4 Mg 2.78
Pt  0.7500  0.7500  0.2500  4 Tl 2.78, 4 Mg 2.78

Values from the calculation:
As for the polymorph energy (0 for the lowest one): 0.0000 eV per atom. The value obtained for the spin magnetization is 0.983 μB/f.u. The total energy comes out at -17.21 eV per formula unit.


3.
Compound: SmZnAu
Source: OQMD
Functional: GGA-PBE
Structure: optimized geometry

Lattice parameters (Å, degrees): 6.8386 6.8386 6.8386 90.00 90.00 90.00
Last column: nearest neighbours and their distance in Å.
Fractional coordinates of all 12 atoms:
Sm  0.0000  0.0000  0.0000  4 Zn 2.96, 4 Au 2.96
Sm  0.0000  0.5000  0.5000  4 Zn 2.96, 4 Au 2.96
Sm  0.5000  0.0000  0.5000  4 Zn 2.96, 4 Au 2.96
Sm  0.5000  0.5000  0.0000  4 Zn 2.96, 4 Au 2.96
Zn  0.2500  0.2500  0.2500  4 Sm 2.96
Zn  0.2500  0.7500  0.7500  4 Sm 2.96
Zn  0.7500  0.2500  0.7500  4 Sm 2.96
Zn  0.7500  0.7500  0.2500  4 Sm 2.96
Au  0.2500  0.2500  0.7500  4 Sm 2.96
Au  0.2500  0.7500  0.2500  4 Sm 2.96
Au  0.7500  0.2500  0.2500  4 Sm 2.96
Au  0.7500  0.7500  0.7500  4 Sm 2.96

Values from the calculation:
The value obtained for the spin magnetization is 0.016 μB/f.u. The value obtained for the energy relative to the elements is -0.17 eV per atom. The total energy comes out at -9.75 eV per formula unit.


4.
Compound: BaSm3O5
Source: OQMD
Functional: GGA-PBE
Structure: optimized geometry

Lattice parameters (Å, degrees): 7.0388 7.0388 7.0388 144.52 129.58 63.16
Last column: nearest neighbours and their distance in Å.
Fractional coordinates of all 9 atoms:
Ba  0.0000  0.0000  0.0000  10 O 3.00-3.21
Sm  0.2829  0.7829  0.5000  2 O 2.22
Sm  0.5000  0.5000  0.0000  6 O 2.14-2.32
Sm  0.7171  0.2171  0.5000  2 O 2.22
O  0.1082  0.3490  0.7591  2 Sm 2.22-2.32
O  0.4101  0.6510  0.7591  2 Sm 2.22-2.32
O  0.5000  0.0000  0.5000  2 Sm 2.14
O  0.5899  0.3490  0.2409  2 Sm 2.22-2.32
O  0.8918  0.6510  0.2409  2 Sm 2.22-2.32

Values from the calculation:
The value obtained for the spin magnetization is 0.406 μB/f.u. The total energy comes out at -66.95 eV per formula unit.